(P)
Density functional theory data (PBE-GGA) for a relaxed Ac2AgI crystal.

POSCAR file:
```
Ac2AgI
1.0
5.772 0.000 0.000
2.886 4.998 0.000
2.886 1.666 4.713
Ac I Ag
2 1 1
direct
0.250 0.250 0.250
0.750 0.750 0.750
0.000 0.000 0.000
0.500 0.500 0.500
```

magnetization	0.00	μB/cell
DOS(E_F)	1.331	states/eV/atom

---

(Q)
Density functional theory data (PBE-GGA) for a relaxed Ac2AgI crystal.

POSCAR file:
```
Ac2AgI
1.0
-1.905 -0.148 -3.368
-0.482 -3.817 0.440
-7.828 1.491 4.363
I Ac Ag
1 2 1
direct
0.500 0.500 0.500
0.000 0.000 0.224
0.000 0.000 0.776
0.500 0.500 0.000
```

magnetization	0.00	μB/cell
DOS(E_F)	0.897	states/eV/atom

---

Quick one: most stable of them? (Q)

---

(P)
Density functional theory data (PBE-GGA) for a relaxed Ac2AgI crystal.

POSCAR file:
```
Ac2AgI
1.0
4.641 0.000 0.000
2.321 4.019 0.000
2.321 1.340 8.183
I Ac Ag
1 2 1
direct
0.500 0.500 0.500
0.262 0.262 0.214
0.738 0.738 0.786
0.000 0.000 0.000
```

magnetization	0.00	μB/cell
DOS(E_F)	0.716	states/eV/atom

---

(Q)
Density functional theory data (PBE-GGA) for a relaxed Ac2AgI crystal.

POSCAR file:
```
Ac2AgI
1.0
4.577 0.000 0.000
2.288 3.963 0.000
2.288 1.321 8.495
Ac Ag I
2 1 1
direct
0.070 0.070 0.791
0.264 0.264 0.208
0.667 0.667 0.999
0.499 0.499 0.502
```

magnetization	0.00	μB/cell
DOS(E_F)	0.737	states/eV/atom

---

Quick one: most stable of them? (P)

---

(P)
Density functional theory data (PBE-GGA) for a relaxed AcIn4Ag2 crystal.

POSCAR file:
```
AcIn4Ag2
1.0
4.538 0.000 0.000
0.000 8.931 0.000
0.000 0.000 8.931
In Ag Ac
8 4 2
direct
0.000 0.085 0.332
0.500 0.415 0.832
0.500 0.168 0.585
0.000 0.915 0.668
0.000 0.332 0.085
0.000 0.668 0.915
0.500 0.832 0.415
0.500 0.585 0.168
0.500 0.703 0.703
0.000 0.797 0.203
0.500 0.297 0.297
0.000 0.203 0.797
0.500 0.000 0.000
0.000 0.500 0.500
```

magnetization	0.00	μB/cell
DOS(E_F)	0.505	states/eV/atom

---

(Q)
Density functional theory data (PBE-GGA) for a relaxed AcIn4Ag2 crystal.

POSCAR file:
```
AcIn4Ag2
1.0
4.957 0.000 0.000
0.000 7.407 0.000
0.000 0.000 19.249
Ac In Ag
4 16 8
direct
0.750 0.508 0.137
0.250 0.492 0.863
0.250 0.008 0.363
0.750 0.992 0.637
0.250 0.214 0.191
0.750 0.786 0.809
0.250 0.317 0.036
0.750 0.683 0.964
0.750 0.817 0.464
0.750 0.502 0.573
0.250 0.498 0.427
0.750 0.714 0.309
0.750 0.998 0.073
0.250 0.815 0.183
0.250 0.002 0.927
0.250 0.183 0.536
0.750 0.185 0.817
0.750 0.315 0.317
0.250 0.286 0.691
0.250 0.685 0.683
0.750 0.020 0.220
0.250 0.980 0.780
0.250 0.731 0.037
0.250 0.769 0.537
0.250 0.520 0.280
0.750 0.231 0.463
0.750 0.480 0.720
0.750 0.269 0.963
```

magnetization	0.00	μB/cell
DOS(E_F)	0.413	states/eV/atom

---

Quick one: most stable of them? (Q)

---

(P)
Density functional theory data (PBE-GGA) for a relaxed AcIn4Ag4 crystal.

POSCAR file:
```
AcIn4Ag4
1.0
-0.242 -6.420 1.359
-0.849 -1.318 -6.377
9.950 -0.628 -1.195
Ag In Ac
8 8 2
direct
0.000 0.285 0.425
0.715 0.000 0.575
0.215 0.500 0.925
0.285 0.000 0.575
0.000 0.715 0.425
0.785 0.500 0.925
0.500 0.215 0.075
0.500 0.785 0.075
0.000 0.730 0.707
0.270 0.000 0.293
0.230 0.500 0.207
0.770 0.500 0.207
0.730 0.000 0.293
0.500 0.770 0.793
0.000 0.270 0.707
0.500 0.230 0.793
0.000 0.000 0.000
0.500 0.500 0.500
```

magnetization	0.00	μB/cell
DOS(E_F)	0.368	states/eV/atom

---

(Q)
Density functional theory data (PBE-GGA) for a relaxed AcIn4Ag4 crystal.

POSCAR file:
```
AcIn4Ag4
1.0
-0.571 5.026 -0.039
-4.933 -0.498 7.983
7.928 0.939 4.957
Ag In Ac
8 8 2
direct
0.001 0.706 0.607
0.999 0.393 0.706
0.501 0.893 0.206
0.501 0.107 0.794
0.001 0.294 0.393
0.999 0.607 0.294
0.499 0.794 0.893
0.499 0.206 0.107
0.999 0.367 0.100
0.999 0.633 0.900
0.501 0.133 0.400
0.499 0.600 0.133
0.001 0.900 0.367
0.501 0.867 0.600
0.499 0.400 0.867
0.001 0.100 0.633
0.500 0.500 0.500
0.000 0.000 0.000
```

magnetization	0.00	μB/cell
DOS(E_F)	0.158	states/eV/atom

---

Quick one: most stable of them? (P)

---

(P)
Density functional theory data (PBE-GGA) for a relaxed AcIn3Ag3 crystal.

POSCAR file:
```
AcIn3Ag3
1.0
-1.084 -5.269 0.480
5.971 -1.800 -6.271
2.452 0.269 8.493
In Ag Ac
6 6 2
direct
0.750 0.123 0.880
0.750 0.120 0.242
0.250 0.880 0.758
0.250 0.877 0.120
0.750 0.758 0.877
0.250 0.242 0.123
0.750 0.089 0.545
0.250 0.545 0.456
0.750 0.455 0.544
0.250 0.544 0.089
0.250 0.911 0.455
0.750 0.456 0.911
0.250 0.333 0.667
0.750 0.667 0.333
```

magnetization	0.00	μB/cell
DOS(E_F)	0.621	states/eV/atom

---

(Q)
Density functional theory data (PBE-GGA) for a relaxed AcIn3Ag3 crystal.

POSCAR file:
```
AcIn3Ag3
1.0
-8.684 1.414 -0.044
-4.596 -0.618 7.477
-3.555 5.648 3.458
Ag In Ac
6 6 2
direct
0.780 0.318 0.858
0.318 0.045 0.858
0.682 0.955 0.142
0.045 0.780 0.858
0.955 0.220 0.142
0.220 0.682 0.142
0.865 0.552 0.378
0.448 0.795 0.622
0.552 0.205 0.378
0.795 0.135 0.622
0.205 0.865 0.378
0.135 0.448 0.622
0.330 0.330 0.010
0.670 0.670 0.990
```

magnetization	0.00	μB/cell
DOS(E_F)	0.212	states/eV/atom

---

Quick one: most stable of them? (Q)

---

(P)
Density functional theory data (PBE-GGA) for a relaxed Ac4In3Ag crystal.

POSCAR file:
```
Ac4In3Ag
1.0
-3.690 1.441 -2.835
2.125 -1.977 -3.772
-5.781 -10.443 2.216
In Ag Ac
3 1 4
direct
0.000 0.500 0.576
0.500 0.000 0.929
0.000 0.000 0.423
0.500 0.500 0.072
0.000 0.000 0.139
0.000 0.500 0.866
0.500 0.000 0.644
0.500 0.500 0.350
```

magnetization	0.00	μB/cell
DOS(E_F)	1.147	states/eV/atom

---

(Q)
Density functional theory data (PBE-GGA) for a relaxed Ac4In3Ag crystal.

POSCAR file:
```
Ac4In3Ag
1.0
-3.257 1.894 1.144
-0.188 -2.266 3.215
9.728 11.494 8.671
Ag Ac In
1 4 3
direct
0.500 0.500 0.000
0.000 0.000 0.116
0.000 0.000 0.884
0.000 0.000 0.371
0.000 0.000 0.629
0.500 0.500 0.759
0.500 0.500 0.241
0.500 0.500 0.500
```

magnetization	0.00	μB/cell
DOS(E_F)	1.003	states/eV/atom

---

Quick one: most stable of them? (Q)